Below is an optimized crystal structure of PrSm2Ni2B2N3, with properties calculated at the GGA-PBE level.

POSCAR file:
```
PrSm2Ni2B2N3
1.0
-1.796 1.796 10.217
1.796 -1.796 10.217
1.796 1.796 -10.217
Pr Sm Ni B N
1 2 2 2 3
Direct
0.000 0.000 0.000 Pr
0.374 0.374 0.000 Sm
0.626 0.626 0.000 Sm
0.250 0.750 0.500 Ni
0.750 0.250 0.500 Ni
0.193 0.193 0.000 B
0.807 0.807 0.000 B
0.122 0.122 0.000 N
0.500 0.500 0.000 N
0.878 0.878 0.000 N
```

volume = 13.2 Å³/atom
total moment = 0.0 μB per formula unit
calculated total energy = -74.40 eV for the cell shown